Record 1
A crystal of BaSe3S relaxed with PBEsol. Source: Alexandria, functional meta-GGA SCAN.

For the total energy, the calculation gives -22.61 eV/atom.

The structure belongs to space group Pm-3m (No. 221); the cell edges are 4.981, 4.981 and 4.981 Å and the angles 90.00°, 90.00° and 90.00°. Symmetry generates all atoms from Ba at (0.000, 0.000, 0.000), Se at (0.000, 0.500, 0.500) and S at (0.500, 0.500, 0.500).

=====

Record 2
A crystal of TiCu2PdPb relaxed with PBEsol. Source: Alexandria, functional meta-GGA SCAN.

For the total energy, the calculation gives -29.87 eV/atom.

The structure belongs to space group P4/mmm (No. 123); the cell edges are 4.673, 4.673 and 5.164 Å and the angles 90.00°, 90.00° and 90.00°. Symmetry generates all atoms from Ti at (0.000, 0.000, 0.000), Cu at (0.000, 0.500, 0.500), Pd at (0.500, 0.500, 0.000) and Pb at (0.000, 0.000, 0.500).

=====

Record 3
A crystal of KCd2Ni relaxed with PBEsol. Source: Alexandria, functional meta-GGA SCAN.

For the total energy, the calculation gives -20.86 eV/atom.

The structure belongs to space group Fm-3m (No. 225); the cell edges are 6.986, 6.986 and 6.986 Å and the angles 90.00°, 90.00° and 90.00°. Symmetry generates all atoms from K at (0.000, 0.000, 0.000), Cd at (0.250, 0.250, 0.250) and Ni at (0.000, 0.000, 0.500).

=====

Record 4
A crystal of KHfGa3 relaxed with PBEsol. Source: Alexandria, functional meta-GGA SCAN.

Its energy above the most stable polymorph in this dataset is 126.1 kJ per mole of atoms.

The structure belongs to space group Pm-3m (No. 221); the cell edges are 4.980, 4.980 and 4.980 Å and the angles 90.00°, 90.00° and 90.00°. Symmetry generates all atoms from K at (0.000, 0.000, 0.000), Hf at (0.500, 0.500, 0.500) and Ga at (0.000, 0.000, 0.500).

=====

Record 5
A crystal of TlSb2 relaxed with PBEsol. Source: Alexandria, functional meta-GGA SCAN.

For the total energy, the calculation gives -48.86 eV/atom.

The structure belongs to space group Cmcm (No. 63); the cell edges are 4.329, 20.399 and 4.139 Å and the angles 90.00°, 90.00° and 90.00°. Symmetry generates all atoms from Tl at (0.000, 0.116, 0.250), Sb at (0.000, 0.264, 0.750) and Sb at (0.000, 0.452, 0.250).

=====

Record 6
A crystal of In2CuAgS4 relaxed with PBEsol. Source: Alexandria, functional meta-GGA SCAN.

For the total energy, the calculation gives -19.53 eV/atom.

The structure belongs to space group I-4 (No. 82); the cell edges are 5.612, 5.612 and 11.287 Å and the angles 90.00°, 90.00° and 90.00°. Symmetry generates all atoms from In at (0.000, 0.000, 0.000), In at (0.000, 0.500, 0.250), Cu at (0.000, 0.000, 0.500), Ag at (0.000, 0.500, 0.750) and S at (0.233, 0.235, 0.383).

=====

Record 7
A crystal of ScCrC2 relaxed with PBEsol. Source: Alexandria, functional meta-GGA SCAN.

For the total energy, the calculation gives -13.60 eV/atom.

The structure belongs to space group P6_3/mmc (No. 194); the cell edges are 3.2208, 3.2208 and 8.9496 Å and the angles 90.00°, 90.00° and 120.00°. Symmetry generates all atoms from Sc at (0.0000, 0.0000, 0.0000), Cr at (0.3333, 0.6667, 0.2500) and C at (0.3333, 0.6667, 0.6649).

=====

Record 8
A crystal of CaNO2F relaxed with PBEsol. Source: Alexandria, functional meta-GGA SCAN.

For the total energy, the calculation gives -7.68 eV/atom.

The structure belongs to space group P4/mmm (No. 123); the cell edges are 3.501, 3.501 and 3.932 Å and the angles 90.00°, 90.00° and 90.00°. Symmetry generates all atoms from Ca at (0.000, 0.000, 0.000), N at (0.500, 0.500, 0.500), O at (0.000, 0.500, 0.500) and F at (0.500, 0.500, 0.000).